LaEr2MgAu4: optimized geometry, PBE.

CIF file:
```
data_LaEr2MgAu4
_chemical_formula_sum 'La1 Er2 Mg1 Au4'
_symmetry_space_group_name_H-M 'P 1'
_symmetry_Int_Tables_number 1
_cell_length_a 4.9832
_cell_length_b 4.9832
_cell_length_c 9.0762
_cell_angle_alpha 74.07
_cell_angle_beta 74.07
_cell_angle_gamma 60.00
loop_
_symmetry_equiv_pos_as_xyz
'x,y,z'
loop_
_atom_site_label
_atom_site_type_symbol
_atom_site_fract_x
_atom_site_fract_y
_atom_site_fract_z
_atom_site_occupancy
Au1 Au 0.3914 0.3914 0.8258 1
Au2 Au 0.8770 0.8770 0.3690 1
Au3 Au 0.1230 0.1230 0.6310 1
Au4 Au 0.6086 0.6086 0.1742 1
Er1 Er 0.7611 0.7611 0.7168 1
Er2 Er 0.2389 0.2389 0.2832 1
Mg1 Mg 0.5000 0.5000 0.5000 1
La1 La 0.0000 0.0000 0.0000 1
```

Energy: -4.38 eV per atom
Spin magnetization: 0.0 μB/cell
D(E_F): 5.4 states/eV/cell
DFT formation energy: -0.7839 eV/atom